{"formula": "Th3Zn4In2", "functional": "PBE", "state": "relaxed", "cell": [[5.571, -2.321, 0.000], [5.571, 2.321, 0.000], [-3.373, 0.000, 8.252]], "species": ["Th", "Th", "Th", "Zn", "Zn", "Zn", "Zn", "In", "In"], "frac_coords": [[0.000, 0.000, 0.000], [0.346, 0.346, 0.320], [0.654, 0.654, 0.680], [0.069, 0.069, 0.409], [0.272, 0.272, 0.948], [0.728, 0.728, 0.052], [0.931, 0.931, 0.591], [0.370, 0.370, 0.709], [0.630, 0.630, 0.291]], "dos_at_fermi_per_ev_cell": 7.980, "space_group": "C2/m", "energy_ev_per_cell": -35.41, "rho_g_cm3": 9.24, "ef_ev_per_atom": -0.29, "volume_a3_per_atom": 23.7, "crystal_system": "monoclinic"}